# meta-GGA SCAN DyP, single point on PBEsol structure
# Spin magnetization, μB per formula unit: 0.0
# V, Å³/cell: 174.74
# Raw total energy, eV/cell: -247.2
# Crystal system: cubic
data_DyP
_symmetry_space_group_name_H-M 'F m -3 m'
_symmetry_Int_Tables_number 225
_symmetry_space_group_name_Hall '-F 4 2 3'
_cell_length_a 5.591
_cell_length_b 5.591
_cell_length_c 5.591
_cell_angle_alpha 90.00
_cell_angle_beta 90.00
_cell_angle_gamma 90.00
loop_
_atom_site_label
_atom_site_type_symbol
_atom_site_fract_x
_atom_site_fract_y
_atom_site_fract_z
Dy1 Dy 0.000 0.000 0.000
P1 P 0.000 0.000 0.500